The following is a DFT calculation (PBE-GGA) of a relaxed structure of Pm4PrRh2.

Lattice parameters (Å, degrees): 6.667 8.010 8.039 113.30 90.00 90.00
Atoms (fractional coordinates):
Pm 0.750 0.015 0.381
Rh 0.750 0.370 0.406
Rh 0.250 0.630 0.594
Pm 0.495 0.590 0.238
Pm 0.750 0.748 0.662
Pr 0.250 0.847 0.975
Pm 0.250 0.252 0.338
Rh 0.750 0.746 0.008
Pm 0.505 0.410 0.762
Pm 0.995 0.410 0.762
Pr 0.750 0.153 0.025
Pm 0.250 0.985 0.619
Rh 0.250 0.254 0.992
Pm 0.005 0.590 0.238

Summary:
As for the formation energy: -374 meV/atom. The raw total energy comes out at -5.8721 eV/atom. The calculation puts the excess energy over the best structure of this formula in the dataset at 47.4 meV per atom.